Computed, not measured: a relaxed BeTe2Os crystal at the GGA-PBE level of DFT.

Output
For the magnetic moment, the calculation gives 0.000 Bohr magnetons per cell. For the formation energy without anion corrections, the calculation gives 0.8450 eV/atom.

Cell and atoms, written as POSCAR:
```
BeTe2Os
1.0
1.6789 0.9693 8.2811
-1.6789 0.9693 8.2811
0.0000 -1.9386 8.2811
Be Te Os
1 2 1
Cartesian
0.0000 0.0000 0.0000
0.0000 0.0000 9.8847
0.0000 0.0000 14.9585
0.0000 0.0000 12.4216
```

Computed, not measured: a relaxed BeTe2Os crystal at the GGA-PBE level of DFT.

Output
For the magnetic moment, the calculation gives 0.000 Bohr magnetons per cell. For the formation energy without anion corrections, the calculation gives 0.6432 eV/atom.

Cell and atoms, written as POSCAR:
```
BeTe2Os
1.0
-1.5523 2.3222 5.9959
1.5523 -2.3222 5.9959
1.5523 2.3222 -5.9959
Be Te Os
1 2 1
Cartesian
0.0000 0.0000 0.0000
1.5523 0.0000 4.6622
0.0000 0.0000 7.8933
0.0000 2.3222 4.1707
```